Record 1
Material: Hf12Fe6C
Method: DFT, GGA-PBE
State: optimized geometry

a b c (Å): 10.8866 10.8866 10.5803
angles (deg): 90.00 90.00 120.00
Space group R-3 (No. 148, hexagonal axes)
One atom of each set of equivalent atoms:
Hf (0.0266, 0.2144, 0.3915)
Hf (0.0376, 0.1982, 0.8862)
Fe (0.0497, 0.2687, 0.6508)
C (0.0000, 0.0000, 0.0000)

Its energy of formation from the pure elements is 9.7 meV/atom. For the calculated total energy, the calculation gives -9.43 eV per atom.

Record 2
Material: Hf2FeIrC
Method: DFT, GGA-PBE
State: optimized geometry

a b c (Å): 4.526 4.526 3.624
angles (deg): 90.00 90.00 90.00
Space group P4/mmm (No. 123)
One atom of each set of equivalent atoms:
Hf (0.000, 0.500, 0.000)
Fe (0.000, 0.000, 0.500)
Ir (0.500, 0.500, 0.500)
C (0.000, 0.000, 0.000)

Its energy of formation from the pure elements is -577.7 meV/atom. For the calculated total energy, the calculation gives -9.87 eV per atom.

Record 3
Material: HfMn2FeC
Method: DFT, GGA-PBE
State: optimized geometry

a b c (Å): 3.868 3.868 3.866
angles (deg): 90.00 90.00 90.00
Space group P4/mmm (No. 123)
One atom of each set of equivalent atoms:
Hf (0.000, 0.000, 0.000)
Mn (0.000, 0.500, 0.500)
Fe (0.500, 0.500, 0.000)
C (0.500, 0.500, 0.500)

Its energy of formation from the pure elements is -199.6 meV/atom. For the calculated total energy, the calculation gives -9.40 eV per atom.

Record 4
Material: HfFe2MoC
Method: DFT, GGA-PBE
State: optimized geometry

a b c (Å): 3.880 3.880 4.183
angles (deg): 90.00 90.00 90.00
Space group P4/mmm (No. 123)
One atom of each set of equivalent atoms:
Hf (0.000, 0.000, 0.000)
Fe (0.000, 0.500, 0.500)
Mo (0.500, 0.500, 0.000)
C (0.500, 0.500, 0.500)

Its energy of formation from the pure elements is -93.4 meV/atom. For the calculated total energy, the calculation gives -9.48 eV per atom.

Record 5
Material: Hf2PaFeC4
Method: DFT, GGA-PBE
State: optimized geometry

a b c (Å): 3.311 11.166 10.978
angles (deg): 90.00 90.00 90.00
Space group Cmcm (No. 63)
One atom of each set of equivalent atoms:
Hf (0.000, 0.131, 0.047)
Pa (0.000, 0.400, 0.250)
Fe (0.000, 0.341, 0.750)
C (0.000, 0.071, 0.250)
C (0.000, 0.232, 0.627)
C (0.000, 0.500, 0.000)

Its energy of formation from the pure elements is -471.0 meV/atom. For the calculated total energy, the calculation gives -9.82 eV per atom.

Record 6
Material: Hf2FePdC
Method: DFT, GGA-PBE
State: optimized geometry

a b c (Å): 4.544 4.544 3.649
angles (deg): 90.00 90.00 90.00
Space group P4/mmm (No. 123)
One atom of each set of equivalent atoms:
Hf (0.000, 0.500, 0.000)
Fe (0.000, 0.000, 0.500)
Pd (0.500, 0.500, 0.500)
C (0.000, 0.000, 0.000)

Its energy of formation from the pure elements is -536.0 meV/atom. For the calculated total energy, the calculation gives -9.09 eV per atom.

Record 7
Material: Hf2FeReC
Method: DFT, GGA-PBE
State: optimized geometry

a b c (Å): 4.507 4.507 3.921
angles (deg): 90.00 90.00 90.00
Space group P4/mmm (No. 123)
One atom of each set of equivalent atoms:
Hf (0.000, 0.500, 0.000)
Fe (0.000, 0.000, 0.500)
Re (0.500, 0.500, 0.500)
C (0.500, 0.500, 0.000)

Its energy above the most stable polymorph in this dataset is 0.000 eV per atom. Its energy of formation from the pure elements is -192.6 meV/atom. For the calculated total energy, the calculation gives -10.20 eV per atom.

Record 8
Material: Hf2FeReC
Method: DFT, GGA-PBE
State: optimized geometry

a b c (Å): 4.753 4.753 4.239
angles (deg): 90.00 90.00 90.00
Space group P4/mmm (No. 123)
One atom of each set of equivalent atoms:
Hf (0.000, 0.500, 0.000)
Fe (0.000, 0.000, 0.000)
Re (0.000, 0.000, 0.500)
C (0.500, 0.500, 0.500)

Its energy above the most stable polymorph in this dataset is 1.749 eV per atom. Its energy of formation from the pure elements is 1556.8 meV/atom. For the calculated total energy, the calculation gives -8.45 eV per atom.

The records above yield ρ values of 11.4; 13.8; 10.2; 10.5; 11.3; 11.7; 12.7; 10.6 g/cm3, respectively.
The records above yield size of the total moment values of 0.00; 1.09; 1.68; 0.88; 0.00; 0.29; 2.31; 0.00 μB/f.u., respectively.